{
  "formula": "NaNi3O5",
  "functional": "GGA+U",
  "state": "optimized geometry",
  "magmom_total_mub_per_cell": 12.00,
  "spacegroup": "Pnma (62)",
  "energy_ev_per_cell": -167.13,
  "lattice_angstrom": [[-1.8978, 2.0834, -0.7357], [0.6290, -2.2694, -8.0496], [-11.5315, -9.8424, 1.8738]],
  "species": ["Na", "Na", "Na", "Na", "Ni", "Ni", "Ni", "Ni", "Ni", "Ni", "Ni", "Ni", "Ni", "Ni", "Ni", "Ni", "O", "O", "O", "O", "O", "O", "O", "O", "O", "O", "O", "O", "O", "O", "O", "O", "O", "O", "O", "O"],
  "frac_coords": [[0.7500, 0.0463, 0.6345], [0.2500, 0.4537, 0.1345], [0.7500, 0.5463, 0.8655], [0.2500, 0.9537, 0.3655], [0.7500, 0.0984, 0.1469], [0.2500, 0.1670, 0.9859], [0.7500, 0.1968, 0.8178], [0.2500, 0.3032, 0.3178], [0.7500, 0.3330, 0.4859], [0.2500, 0.4016, 0.6469], [0.7500, 0.5984, 0.3531], [0.2500, 0.6670, 0.5141], [0.7500, 0.6968, 0.6822], [0.2500, 0.8032, 0.1822], [0.7500, 0.8330, 0.0141], [0.2500, 0.9016, 0.8531], [0.7500, 0.0232, 0.9196], [0.2500, 0.0718, 0.7712], [0.2500, 0.1940, 0.2059], [0.7500, 0.2595, 0.0575], [0.7500, 0.1945, 0.3769], [0.2500, 0.3055, 0.8769], [0.2500, 0.2405, 0.5575], [0.7500, 0.3060, 0.7059], [0.7500, 0.4282, 0.2712], [0.2500, 0.4768, 0.4196], [0.7500, 0.5232, 0.5804], [0.2500, 0.5718, 0.7288], [0.2500, 0.6940, 0.2941], [0.7500, 0.7595, 0.4425], [0.7500, 0.6945, 0.1231], [0.2500, 0.8055, 0.6231], [0.2500, 0.7405, 0.9425], [0.7500, 0.8060, 0.7941], [0.7500, 0.9282, 0.2288], [0.2500, 0.9768, 0.0804]]
}